Here is a geometry-optimized Pu7SiCl12 structure from Alexandria via LeMat-Bulk. Energies are from PBE-GGA.

Geometry as POSCAR:
```
Pu7SiCl12
1.0
7.338 4.237 3.329
-7.338 4.237 3.329
0.000 -8.473 3.329
Pu Si Cl
7 1 12
Cartesian
0.000 0.000 0.000 Pu
-1.602 -1.717 3.353 Pu
-0.686 2.246 3.353 Pu
2.289 -0.529 3.353 Pu
-2.289 0.529 6.633 Pu
0.686 -2.246 6.633 Pu
1.602 1.717 6.633 Pu
0.000 0.000 4.993 Si
-2.180 0.521 1.681 Cl
0.638 -2.148 1.681 Cl
-3.854 -1.079 4.923 Cl
-0.992 -3.877 5.063 Cl
1.541 1.627 1.681 Cl
-2.862 2.798 5.063 Cl
2.862 -2.798 4.923 Cl
-1.541 -1.627 8.305 Cl
0.992 3.877 4.923 Cl
3.854 1.079 5.063 Cl
-0.638 2.148 8.305 Cl
2.180 -0.521 8.305 Cl
```

Properties
E_form (uncorrected)   -157.8 kJ per mole of atoms
SG   R-3 (148)
Size of the total moment   40.00 Bohr magnetons per cell


Here is a geometry-optimized AcPu4N6 structure from Alexandria via LeMat-Bulk. Energies are from PBE-GGA.

Geometry as POSCAR:
```
AcPu4N6
1.0
1.749 -5.783 0.000
1.749 5.783 0.000
0.000 0.000 17.091
Ac Pu N
2 8 12
Cartesian
1.749 3.964 12.818 Ac
1.749 -3.964 4.273 Ac
1.749 4.646 2.311 Pu
1.749 4.646 6.235 Pu
1.749 1.561 0.749 Pu
1.749 1.561 7.796 Pu
1.749 -1.561 9.295 Pu
1.749 -1.561 16.342 Pu
1.749 -4.646 10.856 Pu
1.749 -4.646 14.780 Pu
0.000 0.000 0.000 N
0.000 0.000 8.545 N
1.749 3.643 4.273 N
1.749 2.617 9.930 N
1.749 2.617 15.706 N
1.749 0.392 2.575 N
1.749 0.392 5.970 N
1.749 -0.392 11.121 N
1.749 -0.392 14.516 N
1.749 -2.617 1.385 N
1.749 -2.617 7.161 N
1.749 -3.643 12.818 N
```

Properties
E_form (uncorrected)   -115.0 kJ per mole of atoms
SG   Cmcm (63)
Size of the total moment   34.00 Bohr magnetons per cell


Here is a geometry-optimized PmSnS4 structure from Alexandria via LeMat-Bulk. Energies are from PBE-GGA.

Geometry as POSCAR:
```
PmSnS4
1.0
6.019 0.000 0.000
0.000 6.952 0.000
-0.836 0.000 6.958
Pm Sn S
2 2 8
Cartesian
0.000 0.000 0.000 Pm
-0.418 3.476 3.479 Pm
2.591 0.000 3.479 Sn
3.009 3.476 0.000 Sn
0.675 1.163 2.460 S
0.257 2.313 5.939 S
1.635 4.949 1.783 S
1.217 5.480 5.262 S
3.965 1.473 1.696 S
3.547 2.003 5.175 S
4.925 4.639 1.019 S
4.507 5.789 4.499 S
```

Properties
E_form (uncorrected)   -75.0 kJ per mole of atoms
SG   P2_1/c (14)
Size of the total moment   0.00 Bohr magnetons per cell


Here is a geometry-optimized CeDyAu2 structure from Alexandria via LeMat-Bulk. Energies are from PBE-GGA.

Geometry as POSCAR:
```
CeDyAu2
1.0
3.588 0.000 0.000
0.000 3.588 0.000
0.000 0.000 7.531
Ce Dy Au
1 1 2
Cartesian
0.000 0.000 0.000 Ce
0.000 0.000 3.765 Dy
1.794 1.794 2.038 Au
1.794 1.794 5.493 Au
```

Properties
Formation energy from the elements   -0.73 eV/atom
SG   P4/mmm (123)
Size of the total moment   1.12 Bohr magnetons per cell


Here is a geometry-optimized TlReHg2 structure from Alexandria via LeMat-Bulk. Energies are from PBE-GGA.

Geometry as POSCAR:
```
TlReHg2
1.0
1.446 -7.486 0.000
1.446 7.486 0.000
0.000 0.000 4.923
Tl Re Hg
1 1 2
Cartesian
0.000 0.000 0.000 Tl
1.446 0.000 2.461 Re
1.446 5.031 2.461 Hg
1.446 -5.031 2.461 Hg
```

Properties
Formation energy from the elements   0.60 eV/atom
SG   Cmmm (65)
Energy above the most stable polymorph in this dataset   0.000 eV per atom
Size of the total moment   0.00 Bohr magnetons per cell


Here is a geometry-optimized Dy2PdSe structure from Alexandria via LeMat-Bulk. Energies are from PBE-GGA.

Geometry as POSCAR:
```
Dy2PdSe
1.0
1.841 1.063 8.949
-1.841 1.063 8.949
0.000 -2.126 8.949
Dy Pd Se
2 1 1
Cartesian
0.000 0.000 2.611 Dy
0.000 0.000 24.237 Dy
0.000 0.000 0.000 Pd
0.000 0.000 13.424 Se
```

Properties
E_form (uncorrected)   -59.4 kJ per mole of atoms
SG   R-3m (166)
Energy above the most stable polymorph in this dataset   0.709 eV per atom
Size of the total moment   0.00 Bohr magnetons per cell


Here is a geometry-optimized TlRu2W2 structure from Alexandria via LeMat-Bulk. Energies are from PBE-GGA.

Geometry as POSCAR:
```
TlRu2W2
1.0
-2.071 2.071 5.519
2.071 -2.071 5.519
2.071 2.071 -5.519
Tl Ru W
1 2 2
Cartesian
0.000 0.000 0.000 Tl
2.071 0.000 2.760 Ru
0.000 2.071 2.760 Ru
0.000 0.000 4.192 W
0.000 0.000 6.847 W
```

Properties
Formation energy from the elements   0.61 eV/atom
SG   I4/mmm (139)
Size of the total moment   0.00 Bohr magnetons per cell


Here is a geometry-optimized CdSiRh structure from Alexandria via LeMat-Bulk. Energies are from PBE-GGA.

Geometry as POSCAR:
```
CdSiRh
1.0
4.140 0.000 0.000
-2.070 3.585 0.000
0.000 0.000 3.362
Cd Si Rh
1 1 1
Cartesian
0.000 0.000 0.000 Cd
2.070 1.195 1.681 Si
0.000 2.390 1.681 Rh
```

Properties
E_form (uncorrected)   -24.3 kJ per mole of atoms
SG   P-6m2 (187)
Size of the total moment   0.00 Bohr magnetons per cell


Here is a geometry-optimized Na2VIN structure from Alexandria via LeMat-Bulk. Energies are from PBE-GGA.

Geometry as POSCAR:
```
Na2VIN
1.0
5.264 0.000 0.000
0.000 5.264 0.000
0.000 0.000 3.873
Na V I N
2 1 1 1
Cartesian
0.000 2.632 0.000 Na
2.632 0.000 0.000 Na
0.000 0.000 1.936 V
2.632 2.632 1.936 I
0.000 0.000 0.000 N
```

Properties
E_form (uncorrected)   -30.7 kJ per mole of atoms
SG   P4/mmm (123)
Size of the total moment   2.97 Bohr magnetons per cell


Here is a geometry-optimized Cs2HfMnPd structure from Alexandria via LeMat-Bulk. Energies are from PBE-GGA.

Geometry as POSCAR:
```
Cs2HfMnPd
1.0
7.033 0.000 0.000
0.000 7.033 0.000
0.000 0.000 4.629
Cs Hf Mn Pd
2 1 1 1
Cartesian
0.000 3.516 0.000 Cs
3.516 0.000 0.000 Cs
0.000 0.000 0.000 Hf
0.000 0.000 2.315 Mn
3.516 3.516 2.315 Pd
```

Properties
Formation energy from the elements   1.44 eV/atom
SG   P4/mmm (123)
Size of the total moment   1.67 Bohr magnetons per cell


Here is a geometry-optimized YRh2Se2 structure from Alexandria via LeMat-Bulk. Energies are from PBE-GGA.

Geometry as POSCAR:
```
YRh2Se2
1.0
-1.987 1.987 5.960
1.987 -1.987 5.960
1.987 1.987 -5.960
Y Rh Se
1 2 2
Cartesian
0.000 0.000 0.000 Y
1.987 0.000 2.980 Rh
0.000 1.987 2.980 Rh
0.000 0.000 4.532 Se
0.000 0.000 7.387 Se
```

Properties
E_form (uncorrected)   -59.1 kJ per mole of atoms
SG   I4/mmm (139)
Size of the total moment   0.00 Bohr magnetons per cell


Here is a geometry-optimized Y2CuSnH structure from Alexandria via LeMat-Bulk. Energies are from PBE-GGA.

Geometry as POSCAR:
```
Y2CuSnH
1.0
4.844 0.000 0.000
0.000 4.844 0.000
0.000 0.000 4.084
Y Cu Sn H
2 1 1 1
Cartesian
0.000 2.422 0.000 Y
2.422 0.000 0.000 Y
0.000 0.000 2.042 Cu
2.422 2.422 2.042 Sn
0.000 0.000 0.000 H
```

Properties
Calculated total energy   -5.313 eV per atom
SG   P4/mmm (123)
Size of the total moment   0.34 Bohr magnetons per cell


Here is a geometry-optimized Mg14AlB structure from Alexandria via LeMat-Bulk. Energies are from PBE-GGA.

Geometry as POSCAR:
```
Mg14AlB
1.0
6.273 0.000 0.000
-3.137 5.433 0.000
0.000 0.000 9.814
Mg Al B
14 1 1
Cartesian
0.000 0.000 2.441 Mg
0.000 0.000 7.373 Mg
-1.506 2.753 2.590 Mg
-1.506 2.753 7.224 Mg
1.535 0.886 4.907 Mg
1.591 0.918 0.000 Mg
1.506 2.753 2.590 Mg
1.506 2.753 7.224 Mg
0.000 5.361 2.590 Mg
0.000 5.361 7.224 Mg
4.683 0.918 0.000 Mg
3.137 3.596 0.000 Mg
4.739 0.886 4.907 Mg
3.137 3.661 4.907 Mg
0.000 3.622 0.000 Al
0.000 3.622 4.907 B
```

Properties
Formation energy from the elements   0.18 eV/atom
SG   P-6m2 (187)
Energy above the most stable polymorph in this dataset   0.017 eV per atom
Size of the total moment   0.00 Bohr magnetons per cell


Here is a geometry-optimized Sr3LaMo structure from Alexandria via LeMat-Bulk. Energies are from PBE-GGA.

Geometry as POSCAR:
```
Sr3LaMo
1.0
5.987 0.000 0.000
0.000 5.987 0.000
0.000 0.000 5.987
Sr La Mo
3 1 1
Cartesian
0.000 0.000 2.993 Sr
0.000 2.993 0.000 Sr
2.993 0.000 0.000 Sr
0.000 0.000 0.000 La
2.993 2.993 2.993 Mo
```

Properties
Formation energy from the elements   1.89 eV/atom
SG   Pm-3m (221)
Size of the total moment   1.09 Bohr magnetons per cell


Here is a geometry-optimized Pa2Co4As3Pd structure from Alexandria via LeMat-Bulk. Energies are from PBE-GGA.

Geometry as POSCAR:
```
Pa2Co4As3Pd
1.0
3.843 0.000 0.000
0.000 3.843 0.000
0.000 0.000 10.603
Pa Co As Pd
2 4 3 1
Cartesian
0.000 1.922 2.607 Pa
1.922 0.000 7.996 Pa
0.000 0.000 5.302 Co
0.000 1.922 8.873 Co
1.922 0.000 1.730 Co
1.922 1.922 5.302 Co
0.000 0.000 0.000 As
0.000 1.922 6.603 As
1.922 0.000 4.001 As
1.922 1.922 0.000 Pd
```

Properties
Formation energy from the elements   -0.63 eV/atom
SG   P-4m2 (115)
Size of the total moment   0.61 Bohr magnetons per cell


Here is a geometry-optimized Na4LaDy3Se8 structure from Alexandria via LeMat-Bulk. Energies are from PBE-GGA.

Geometry as POSCAR:
```
Na4LaDy3Se8
1.0
4.206 2.428 7.001
-4.206 2.428 7.001
0.000 -4.857 7.001
Na La Dy Se
4 1 3 8
Cartesian
0.000 0.000 0.000 Na
-2.103 -1.214 7.001 Na
-2.103 1.214 14.001 Na
0.000 2.428 7.001 Na
0.000 0.000 10.501 La
-4.206 0.000 10.501 Dy
-2.103 1.214 3.500 Dy
2.103 1.214 3.500 Dy
-2.168 -1.252 12.126 Se
0.000 0.000 5.098 Se
0.000 -2.503 8.875 Se
-2.168 1.252 8.875 Se
2.168 -1.252 12.126 Se
0.000 2.503 12.126 Se
0.000 0.000 15.904 Se
2.168 1.252 8.875 Se
```

Properties
E_form (uncorrected)   -165.3 kJ per mole of atoms
SG   R-3m (166)
Size of the total moment   0.00 Bohr magnetons per cell


Here is a geometry-optimized Tb2Cd3Ag structure from Alexandria via LeMat-Bulk. Energies are from PBE-GGA.

Geometry as POSCAR:
```
Tb2Cd3Ag
1.0
0.000 4.961 8.605
3.352 0.000 8.605
3.352 4.961 0.000
Tb Cd Ag
4 6 2
Cartesian
5.045 4.961 8.605 Tb
1.676 2.480 4.302 Tb
5.028 7.441 12.907 Tb
1.659 4.961 8.605 Tb
3.352 2.464 7.158 Cd
3.352 4.961 5.719 Cd
3.352 2.464 10.051 Cd
3.352 7.458 7.158 Cd
3.352 4.961 11.491 Cd
3.352 7.458 10.051 Cd
3.352 4.961 2.872 Ag
3.352 4.961 14.338 Ag
```

Properties
Formation energy from the elements   -0.31 eV/atom
SG   Fmmm (69)
Size of the total moment   0.00 Bohr magnetons per cell


Here is a geometry-optimized MgZrCdAg structure from Alexandria via LeMat-Bulk. Energies are from PBE-GGA.

Geometry as POSCAR:
```
MgZrCdAg
1.0
0.000 3.434 3.434
3.434 0.000 3.434
3.434 3.434 0.000
Mg Zr Cd Ag
1 1 1 1
Cartesian
0.000 0.000 0.000 Mg
3.434 3.434 3.434 Zr
5.150 5.150 5.150 Cd
1.717 1.717 1.717 Ag
```

Properties
Formation energy from the elements   -0.12 eV/atom
SG   F-43m (216)
Energy above the most stable polymorph in this dataset   0.015 eV per atom
Size of the total moment   0.00 Bohr magnetons per cell


Here is a geometry-optimized TeMoW structure from Alexandria via LeMat-Bulk. Energies are from PBE-GGA.

Geometry as POSCAR:
```
TeMoW
1.0
0.000 2.529 6.964
1.672 0.000 6.964
1.672 2.529 0.000
Te Mo W
1 1 1
Cartesian
0.000 0.000 0.000 Te
1.672 2.529 4.409 Mo
1.672 2.529 9.525 W
```

Properties
E_form (uncorrected)   67.5 kJ per mole of atoms
SG   Fmm2 (42)
Energy above the most stable polymorph in this dataset   0.201 eV per atom
Size of the total moment   0.00 Bohr magnetons per cell


Here is a geometry-optimized PmErCuSi structure from Alexandria via LeMat-Bulk. Energies are from PBE-GGA.

Geometry as POSCAR:
```
PmErCuSi
1.0
0.000 3.522 3.522
3.522 0.000 3.522
3.522 3.522 0.000
Pm Er Cu Si
1 1 1 1
Cartesian
0.000 0.000 0.000 Pm
3.522 3.522 3.522 Er
1.761 1.761 1.761 Cu
5.283 5.283 5.283 Si
```

Properties
E_form (uncorrected)   -38.9 kJ per mole of atoms
SG   F-43m (216)
Energy above the most stable polymorph in this dataset   0.100 eV per atom
Size of the total moment   0.00 Bohr magnetons per cell


Here is a geometry-optimized LiTlCr structure from Alexandria via LeMat-Bulk. Energies are from PBE-GGA.

Geometry as POSCAR:
```
LiTlCr
1.0
0.000 3.148 3.148
3.148 0.000 3.148
3.148 3.148 0.000
Li Tl Cr
1 1 1
Cartesian
0.000 0.000 0.000 Li
4.722 4.722 4.722 Tl
1.574 1.574 1.574 Cr
```

Properties
Formation energy from the elements   0.59 eV/atom
SG   F-43m (216)
Energy above the most stable polymorph in this dataset   0.274 eV per atom
Size of the total moment   4.22 Bohr magnetons per cell


Here is a geometry-optimized Li2SiS structure from Alexandria via LeMat-Bulk. Energies are from PBE-GGA.

Geometry as POSCAR:
```
Li2SiS
1.0
1.971 1.138 10.314
-1.971 1.138 10.314
0.000 -2.276 10.314
Li Si S
4 2 2
Cartesian
0.000 0.000 0.000 Li
0.000 0.000 5.153 Li
0.000 0.000 11.859 Li
0.000 0.000 23.854 Li
0.000 0.000 8.724 Si
0.000 0.000 28.431 Si
0.000 0.000 2.374 S
0.000 0.000 26.266 S
```

Properties
E_form (uncorrected)   -78.0 kJ per mole of atoms
SG   R3m (160)
Energy above the most stable polymorph in this dataset   0.021 eV per atom
Size of the total moment   0.00 Bohr magnetons per cell


Here is a geometry-optimized KTl2CdPd structure from Alexandria via LeMat-Bulk. Energies are from PBE-GGA.

Geometry as POSCAR:
```
KTl2CdPd
1.0
5.344 0.000 0.000
0.000 5.344 0.000
0.000 0.000 6.052
K Tl Cd Pd
1 2 1 1
Cartesian
0.000 0.000 0.000 K
0.000 2.672 3.026 Tl
2.672 0.000 3.026 Tl
2.672 2.672 0.000 Cd
0.000 0.000 3.026 Pd
```

Properties
Formation energy from the elements   0.00 eV/atom
SG   P4/mmm (123)
Energy above the most stable polymorph in this dataset   0.118 eV per atom
Size of the total moment   0.00 Bohr magnetons per cell


Here is a geometry-optimized Tm7In2Pd2 structure from Alexandria via LeMat-Bulk. Energies are from PBE-GGA.

Geometry as POSCAR:
```
Tm7In2Pd2
1.0
4.042 -5.471 0.000
4.042 5.471 0.000
0.000 0.000 7.005
Tm In Pd
7 2 2
Cartesian
0.000 0.000 0.000 Tm
2.021 2.735 1.783 Tm
2.021 2.735 5.222 Tm
2.021 -2.735 1.783 Tm
2.021 -2.735 5.222 Tm
4.042 0.000 1.729 Tm
4.042 0.000 5.275 Tm
1.427 0.000 3.502 In
6.657 0.000 3.502 In
4.042 2.300 0.000 Pd
4.042 -2.300 0.000 Pd
```

Properties
Formation energy from the elements   -0.36 eV/atom
SG   Cmmm (65)
Size of the total moment   0.00 Bohr magnetons per cell